<P>
Here is AlPCN4 after structural relaxation from Alexandria via LeMat-Bulk. Energies are from PBE.

abc: 2.8958 5.2745 7.9568
angles: 73.86 89.83 74.04
Last column: nearest neighbours and their distance in Å.
Positions (direct):
P: 0.7455 0.4198 0.4976  2 N 1.82
C: 0.9767 0.9482 0.0478  2 N 1.20-1.26
Al: 0.6824 0.5387 0.9355  5 N 1.87-1.97
N: 0.0937 0.7146 0.0224  1 C 1.26
N: 0.1915 0.5233 0.7716  1 N 1.29
N: 0.8654 0.1707 0.0717  1 C 1.20
N: 0.2212 0.4664 0.6242  1 N 1.29

Output
SG ... P1

<Q>
Here is AlPCN4 after structural relaxation from Alexandria via LeMat-Bulk. Energies are from PBE.

abc: 3.6914 4.4173 5.1552
angles: 73.09 83.23 79.41
Last column: nearest neighbours and their distance in Å.
Positions (direct):
P: 0.0870 0.3651 0.8768  3 N 1.67-1.83
C: 0.3825 0.1959 0.4367  2 N 1.20-1.28
Al: 0.9693 0.7881 0.1635  3 N 1.88-1.91
N: 0.5877 0.9877 0.3653  1 C 1.20
N: 0.3444 0.5993 0.9519  1 N 1.39
N: 0.1595 0.4189 0.5098  1 C 1.28
N: 0.7171 0.6157 0.9489  1 N 1.39

Output
SG ... P1

Relative stability in eV/atom, measured from the most stable structure: <P> 0.000; <Q> 0.047